{"formula": "Na2TiSbS4", "functional": "PBE", "state": "optimized geometry", "lattice_angstrom": [[9.2434, 0.0000, 0.0000], [0.0000, 7.4177, 0.0000], [0.0000, 0.0000, 6.2463]], "species": ["Na", "Na", "Na", "Na", "Ti", "Ti", "Sb", "Sb", "S", "S", "S", "S", "S", "S", "S", "S"], "frac_coords": [[0.2471, 0.1658, 0.0000], [0.2529, 0.8342, 0.5000], [0.7471, 0.8342, 0.5000], [0.7529, 0.1658, 0.0000], [0.0000, 0.6369, 0.0395], [0.5000, 0.3631, 0.5395], [0.0000, 0.3208, 0.4654], [0.5000, 0.6792, 0.9654], [0.0000, 0.3473, 0.9039], [0.0000, 0.6465, 0.4164], [0.2073, 0.7903, 0.9538], [0.2927, 0.2097, 0.4538], [0.5000, 0.3535, 0.9164], [0.5000, 0.6527, 0.4039], [0.7073, 0.2097, 0.4538], [0.7927, 0.7903, 0.9538]], "sg": "Pmn2_1", "crystal_system": "orthorhombic", "energy_ev_per_atom": -4.787, "volume_a3_per_cell": 428.3, "raw_formation_energy_ev_per_fu": -7.1, "mass_density_g_cm3": 2.67}


{"formula": "Na2TiSbS", "functional": "PBE", "state": "optimized geometry", "lattice_angstrom": [[5.9702, 0.0000, 0.0000], [0.0000, 5.9702, 0.0000], [0.0000, 0.0000, 5.1229]], "species": ["Na", "Na", "Ti", "Sb", "S"], "frac_coords": [[0.0000, 0.5000, 0.0000], [0.5000, 0.0000, 0.0000], [0.0000, 0.0000, 0.0000], [0.0000, 0.0000, 0.5000], [0.5000, 0.5000, 0.5000]], "sg": "P4/mmm", "crystal_system": "tetragonal", "energy_ev_per_atom": -3.117, "volume_a3_per_cell": 182.6, "raw_formation_energy_ev_per_fu": 3.2, "mass_density_g_cm3": 2.25}


{"formula": "NaTl3Sb2S6", "functional": "PBE", "state": "optimized geometry", "lattice_angstrom": [[3.5024, -6.0081, 0.0000], [3.5024, 6.0081, 0.0000], [-2.2278, 0.0000, 7.1195]], "species": ["Na", "Tl", "Tl", "Tl", "Sb", "Sb", "S", "S", "S", "S", "S", "S"], "frac_coords": [[0.0000, 0.0000, 0.0000], [0.1570, 0.8430, 0.5000], [0.5000, 0.5000, 0.5000], [0.8430, 0.1570, 0.5000], [0.3336, 0.6664, 0.0000], [0.6664, 0.3336, 0.0000], [0.0768, 0.4284, 0.2198], [0.2875, 0.2875, 0.8008], [0.4284, 0.0768, 0.2198], [0.5716, 0.9232, 0.7802], [0.7125, 0.7125, 0.1992], [0.9232, 0.5716, 0.7802]], "sg": "C2/m", "crystal_system": "monoclinic", "energy_ev_per_atom": -3.828, "volume_a3_per_cell": 299.6, "raw_formation_energy_ev_per_fu": -4.5, "mass_density_g_cm3": 5.94}


{"formula": "Na2TlSbS4", "functional": "PBE", "state": "optimized geometry", "lattice_angstrom": [[9.8588, 0.0000, 0.0000], [0.0000, 7.4059, 0.0000], [0.0000, 0.0000, 6.1458]], "species": ["Na", "Na", "Na", "Na", "Tl", "Tl", "Sb", "Sb", "S", "S", "S", "S", "S", "S", "S", "S"], "frac_coords": [[0.2443, 0.1802, 0.0000], [0.2557, 0.8198, 0.5000], [0.7443, 0.8198, 0.5000], [0.7557, 0.1802, 0.0000], [0.0000, 0.3285, 0.5181], [0.5000, 0.6715, 0.0181], [0.0000, 0.6959, 0.0310], [0.5000, 0.3041, 0.5310], [0.0000, 0.3729, 0.9653], [0.0000, 0.6812, 0.4309], [0.2431, 0.2049, 0.4733], [0.2569, 0.7951, 0.9733], [0.5000, 0.3188, 0.9309], [0.5000, 0.6271, 0.4653], [0.7431, 0.7951, 0.9733], [0.7569, 0.2049, 0.4733]], "sg": "Pmn2_1", "crystal_system": "orthorhombic", "energy_ev_per_atom": -3.781, "volume_a3_per_cell": 448.7, "raw_formation_energy_ev_per_fu": -4.6, "mass_density_g_cm3": 3.70}


{"formula": "Na3Tm2SbS6", "functional": "PBE", "state": "optimized geometry", "lattice_angstrom": [[3.4302, -5.9422, 0.0000], [3.4302, 5.9422, 0.0000], [-2.2867, 0.0000, 6.6704]], "species": ["Na", "Na", "Na", "Tm", "Tm", "Sb", "S", "S", "S", "S", "S", "S"], "frac_coords": [[0.0000, 0.0000, 0.0000], [0.3366, 0.6634, 0.0000], [0.6634, 0.3366, 0.0000], [0.1670, 0.8330, 0.5000], [0.8330, 0.1670, 0.5000], [0.5000, 0.5000, 0.5000], [0.0866, 0.4248, 0.2748], [0.2365, 0.2365, 0.7248], [0.4248, 0.0866, 0.2748], [0.5752, 0.9134, 0.7252], [0.7635, 0.7635, 0.2752], [0.9134, 0.5752, 0.7252]], "sg": "C2/m", "crystal_system": "monoclinic", "energy_ev_per_atom": -4.938, "volume_a3_per_cell": 271.9, "raw_formation_energy_ev_per_fu": -17.5, "mass_density_g_cm3": 4.40}


{"formula": "Na2Tm2SbS6", "functional": "PBE", "state": "optimized geometry", "lattice_angstrom": [[3.3791, -5.8513, 0.0000], [3.3791, 5.8513, 0.0000], [-2.1661, 0.0000, 6.7904]], "species": ["Na", "Na", "Tm", "Tm", "Sb", "S", "S", "S", "S", "S", "S"], "frac_coords": [[0.1646, 0.8354, 0.0000], [0.8354, 0.1646, 0.0000], [0.3333, 0.6667, 0.5000], [0.6667, 0.3333, 0.5000], [0.0000, 0.0000, 0.5000], [0.0681, 0.3980, 0.7178], [0.2537, 0.2537, 0.2823], [0.3980, 0.0681, 0.7178], [0.6020, 0.9319, 0.2822], [0.7463, 0.7463, 0.7177], [0.9319, 0.6020, 0.2822]], "sg": "C2/m", "crystal_system": "monoclinic", "energy_ev_per_atom": -5.027, "volume_a3_per_cell": 268.5, "raw_formation_energy_ev_per_fu": -14.8, "mass_density_g_cm3": 4.32}